No. 1
## NiSn3 (PBE)

Data for a relaxed structure of NiSn3.

Computed properties:
Magnetic moment   0.00 Bohr magnetons per cell
Energy   -4.43 eV per atom

a b c (Å): 9.4286 3.5238 10.8417
angles (deg): 90.00 99.96 90.00
Atoms (fractional coordinates):
Ni 0.6159 0.7500 0.1837
Ni 0.0578 0.2500 0.3254
Ni 0.9422 0.7500 0.6746
Ni 0.3841 0.2500 0.8163
Sn 0.4003 0.2500 0.0735
Sn 0.0996 0.7500 0.1262
Sn 0.8140 0.2500 0.1496
Sn 0.5531 0.2500 0.3511
Sn 0.2749 0.7500 0.3890
Sn 0.8756 0.7500 0.4056
Sn 0.1244 0.2500 0.5944
Sn 0.7251 0.2500 0.6110
Sn 0.4469 0.7500 0.6489
Sn 0.1860 0.7500 0.8504
Sn 0.9004 0.2500 0.8738
Sn 0.5997 0.7500 0.9265


No. 2
## NiSn3 (PBE)

Data for a relaxed structure of NiSn3.

Computed properties:
Magnetic moment   0.00 Bohr magnetons per cell
Energy   -4.45 eV per atom

a b c (Å): 7.1868 7.1868 4.0107
angles (deg): 90.00 90.00 120.00
Atoms (fractional coordinates):
Ni 0.3333 0.6667 0.2500
Ni 0.6667 0.3333 0.7500
Sn 0.6959 0.0726 0.2500
Sn 0.3767 0.3041 0.2500
Sn 0.9274 0.6233 0.2500
Sn 0.0726 0.3767 0.7500
Sn 0.6233 0.6959 0.7500
Sn 0.3041 0.9274 0.7500


No. 3
## NiSn2 (PBE)

Data for a relaxed structure of NiSn2.

Computed properties:
Magnetic moment   0.00 Bohr magnetons per cell
Energy   -4.67 eV per atom

a b c (Å): 5.1013 4.0784 11.8229
angles (deg): 90.00 90.00 90.00
Atoms (fractional coordinates):
Ni 0.3606 0.2500 0.0295
Ni 0.8606 0.2500 0.4705
Ni 0.1394 0.7500 0.5295
Ni 0.6394 0.7500 0.9705
Sn 0.8659 0.2500 0.0919
Sn 0.3753 0.7500 0.1739
Sn 0.8753 0.7500 0.3261
Sn 0.3659 0.2500 0.4081
Sn 0.6341 0.7500 0.5919
Sn 0.1247 0.2500 0.6739
Sn 0.6247 0.2500 0.8261
Sn 0.1341 0.7500 0.9081


No. 4
## Ni17Sn (PBE)

Data for a relaxed structure of Ni17Sn.

Computed properties:
Magnetic moment   0.33 Bohr magnetons per cell
Energy   -5.41 eV per atom

a b c (Å): 4.2916 4.9559 30.8859
angles (deg): 90.00 90.04 90.00
Last column: magnetic moment on the atom in μB.
Atoms (fractional coordinates):
Ni 0.3302 0.5000 0.2400  0.29
Ni 0.8333 0.2567 0.2402  0.30
Ni 0.8333 0.7433 0.2402  0.30
Ni 0.0028 0.0000 0.3042  0.58
Ni 0.5004 0.2493 0.3044  0.53
Ni 0.5004 0.7507 0.3044  0.53
Ni 0.9993 0.5000 0.3047  0.50
Ni 0.6664 0.0000 0.3696  0.40
Ni 0.1670 0.2498 0.3698  0.35
Ni 0.1670 0.7502 0.3698  0.35
Ni 0.6663 0.5000 0.3700  0.41
Ni 0.3339 0.0000 0.4351  -0.57
Ni 0.8331 0.2499 0.4351  -0.56
Ni 0.8331 0.7501 0.4351  -0.56
Ni 0.3326 0.5000 0.4353  -0.56
Ni 0.0001 0.0000 0.4999  -0.66
Ni 0.5000 0.2500 0.5000  -0.67
Ni 0.5000 0.7500 0.5000  -0.67
Ni 0.9999 0.5000 0.5001  -0.66
Ni 0.6674 0.0000 0.5648  -0.62
Ni 0.1668 0.2501 0.5649  -0.64
Ni 0.1668 0.7499 0.5649  -0.64
Ni 0.6662 0.5000 0.5649  -0.64
Ni 0.3337 0.0000 0.6300  0.03
Ni 0.8330 0.2502 0.6303  0.09
Ni 0.8330 0.7498 0.6303  0.09
Ni 0.3336 0.5000 0.6304  0.03
Ni 0.0006 0.0000 0.6953  0.48
Ni 0.4997 0.2508 0.6956  0.48
Ni 0.4997 0.7492 0.6956  0.48
Ni 0.9971 0.5000 0.6958  0.57
Ni 0.1666 0.2434 0.7598  0.34
Ni 0.1666 0.7566 0.7598  0.34
Ni 0.6698 0.0000 0.7600  0.33
Sn 0.3338 0.0000 0.2194  -0.02
Sn 0.6663 0.5000 0.7806  -0.02


No. 5
## NiSn3 (PBE)

Data for a relaxed structure of NiSn3.

Computed properties:
Magnetic moment   0.00 Bohr magnetons per cell
Energy   -4.14 eV per atom

a b c (Å): 4.4715 4.4715 4.4715
angles (deg): 90.00 90.00 90.00
Atoms (fractional coordinates):
Ni 0.0000 0.0000 0.0000
Sn 0.5000 0.5000 0.0000
Sn 0.5000 0.0000 0.5000
Sn 0.0000 0.5000 0.5000


No. 6
## NiSn4 (PBE)

Data for a relaxed structure of NiSn4.

Computed properties:
Magnetic moment   0.00 Bohr magnetons per cell
Energy   -4.37 eV per atom

a b c (Å): 7.0349 6.7331 8.5002
angles (deg): 53.49 50.29 76.22
Atoms (fractional coordinates):
Ni 0.7656 0.7656 0.2344
Ni 0.0156 0.0156 0.4844
Sn 0.4821 0.0589 0.1495
Sn 0.9405 0.1005 0.1911
Sn 0.0589 0.4821 0.3095
Sn 0.5332 0.4372 0.3152
Sn 0.4372 0.5332 0.7144
Sn 0.9348 0.5356 0.7168
Sn 0.1005 0.9405 0.7679
Sn 0.5356 0.9348 0.8128


No. 7
## Ni10Sn (PBE)

Data for a relaxed structure of Ni10Sn.

Computed properties:
Magnetic moment   10.40 Bohr magnetons per cell
Energy   -5.41 eV per atom

a b c (Å): 4.2759 4.2759 29.0837
angles (deg): 90.06 90.06 48.27
Last column: magnetic moment on the atom in μB.
Atoms (fractional coordinates):
Ni 0.8546 0.8546 0.2412  0.15
Ni 0.5506 0.5506 0.2685  0.32
Ni 0.2502 0.2502 0.2956  0.47
Ni 0.9475 0.9475 0.3233  0.56
Ni 0.6490 0.6490 0.3503  0.61
Ni 0.3478 0.3478 0.3778  0.65
Ni 0.0479 0.0479 0.4047  0.63
Ni 0.7477 0.7477 0.4318  0.65
Ni 0.4488 0.4488 0.4593  0.66
Ni 0.1499 0.1499 0.4864  0.63
Ni 0.8501 0.8501 0.5136  0.63
Ni 0.5512 0.5512 0.5407  0.66
Ni 0.2523 0.2523 0.5682  0.65
Ni 0.9521 0.9521 0.5953  0.63
Ni 0.6522 0.6522 0.6222  0.65
Ni 0.3510 0.3510 0.6497  0.61
Ni 0.0525 0.0525 0.6767  0.56
Ni 0.7498 0.7498 0.7044  0.47
Ni 0.4494 0.4494 0.7315  0.32
Ni 0.1454 0.1454 0.7588  0.15
Sn 0.1550 0.1550 0.2031  -0.01
Sn 0.8450 0.8450 0.7969  -0.01


No. 8
## Ni9Sn2 (PBE)

Data for a relaxed structure of Ni9Sn2.

Computed properties:
Magnetic moment   4.57 Bohr magnetons per cell
Energy   -4.91 eV per atom

a b c (Å): 2.7208 2.7208 32.5063
angles (deg): 90.00 90.00 120.00
Last column: magnetic moment on the atom in μB.
Atoms (fractional coordinates):
Ni 0.3333 0.6667 0.2695  0.14
Ni 0.0000 0.0000 0.3278  0.60
Ni 0.6667 0.3333 0.3858  0.67
Ni 0.3333 0.6667 0.4432  0.65
Ni 0.0000 0.0000 0.5000  0.63
Ni 0.6667 0.3333 0.5568  0.65
Ni 0.3333 0.6667 0.6142  0.67
Ni 0.0000 0.0000 0.6722  0.60
Ni 0.6667 0.3333 0.7305  0.14
Sn 0.6667 0.3333 0.2010  -0.01
Sn 0.3333 0.6667 0.7990  -0.01